Entry 1:
DFT (PBE) results for an optimized crystal structure of V5Cr2Co12.

Cell lengths 4.7531, 7.3631, 7.7124 Å; angles 110.33, 90.00, 108.83 degrees
Last column: magnetic moment on the atom in μB.
Atoms (fractional coordinates):
Co 0.8908 0.7817 0.7028  0.99
V 0.6905 0.3810 0.3686  -0.25
Co 0.0951 0.6899 0.3926  0.27
Co 0.1092 0.2183 0.2972  0.99
Cr 0.2885 0.0000 0.0000  -0.04
Co 0.5199 0.0398 0.3566  0.19
Co 0.4801 0.9602 0.6434  0.19
V 0.3668 0.7337 0.1400  -0.22
V 0.3095 0.6190 0.6314  -0.25
Co 0.9685 0.4015 0.1125  0.52
Co 0.5947 0.6899 0.3926  0.27
Co 0.4053 0.3101 0.6074  0.27
V 0.6332 0.2663 0.8600  -0.22
Co 0.9049 0.3101 0.6074  0.27
Co 0.5671 0.5985 0.8875  0.52
V 0.0000 0.0000 0.5000  -0.28
Co 0.0315 0.5985 0.8875  0.52
Co 0.4329 0.4015 0.1125  0.52
Cr 0.7115 0.0000 0.0000  -0.04

Calculated values
As for the space group: C2/m, No. 12. The formation energy from the elements comes out at 540 kJ/mol of formula units. The total magnetization is 4.1 μB/f.u.

=====

Entry 2:
DFT (PBE) results for an optimized crystal structure of CuPdIF2.

Cell lengths 3.8427, 3.8427, 6.0723 Å; angles 90.00, 90.00, 90.00 degrees
Atoms (fractional coordinates):
I 0.5000 0.5000 0.5000
F 0.5000 0.0000 0.0000
F 0.0000 0.5000 0.0000
Pd 0.0000 0.0000 0.5000
Cu 0.0000 0.0000 0.0000

Calculated values
As for the space group: P4/mmm, No. 123. The calculation puts the energy at -3.739 eV per atom. The total magnetization is 0.0 μB/f.u.

=====

Entry 3:
DFT (PBE) results for an optimized crystal structure of InRuCl2.

Cell lengths 7.1542, 7.1542, 4.8416 Å; angles 70.22, 70.22, 25.67 degrees
Last column: magnetic moment on the atom in μB.
Atoms (fractional coordinates):
Cl 0.8931 0.8931 0.1068  0.00
In 0.7500 0.7500 0.7500  0.00
Cl 0.6069 0.6069 0.3932  0.00
Ru 0.2500 0.2500 0.2500  0.31

Calculated values
As for the space group: Immm, No. 71. The calculation puts the energy at -4.119 eV per atom. The total magnetization is 0.3 μB/f.u.